Record 1
Density functional theory data (PBE) for a relaxed structure of Er4AgPd2.

Values from the calculation:
Total magnetization (μB per formula unit): 0.008
Raw total energy (eV per atom): -4.99
Distance to the lowest polymorph of the same formula (eV per atom): 0.078

```
data_Er4AgPd2
_chemical_formula_sum 'Er12 Ag3 Pd6'
_space_group_name_H-M_alt 'R -3 m'
_space_group_IT_number 166
_space_group_name_Hall '-R 3 2"'
_cell_length_a 4.5824
_cell_length_b 4.5824
_cell_length_c 29.6445
_cell_angle_alpha 90.00
_cell_angle_beta 90.00
_cell_angle_gamma 120.00
loop_
_atom_site_label
_atom_site_fract_x
_atom_site_fract_y
_atom_site_fract_z
Er1 0.0000 0.0000 0.1157
Er2 0.0000 0.0000 0.2979
Ag1 0.0000 0.0000 0.5000
Pd1 0.0000 0.0000 0.4025
```

=====

Record 2
Density functional theory data (PBE) for a relaxed structure of Dy2MgBePt6.

Values from the calculation:
Total magnetization (μB per formula unit): 0.000
Raw total energy (eV per atom): -5.91

```
data_Dy2MgBePt6
_chemical_formula_sum 'Dy6 Mg3 Be3 Pt18'
_space_group_name_H-M_alt 'R -3 m'
_space_group_IT_number 166
_space_group_name_Hall '-R 3 2"'
_cell_length_a 5.6211
_cell_length_b 5.6211
_cell_length_c 20.5075
_cell_angle_alpha 90.00
_cell_angle_beta 90.00
_cell_angle_gamma 120.00
loop_
_atom_site_label
_atom_site_fract_x
_atom_site_fract_y
_atom_site_fract_z
Dy1 0.0000 0.0000 0.2101
Mg1 0.0000 0.0000 0.5000
Be1 0.0000 0.0000 0.0000
Pt1 0.0066 0.5033 0.2633
```

=====

Record 3
Density functional theory data (PBE) for a relaxed structure of KTa2Ni.

Values from the calculation:
Total magnetization (μB per formula unit): 0.000
Raw total energy (eV per atom): -6.09
Distance to the lowest polymorph of the same formula (eV per atom): 1.056

```
data_KTa2Ni
_chemical_formula_sum 'K4 Ta8 Ni4'
_space_group_name_H-M_alt 'I -4 2 d'
_space_group_IT_number 122
_space_group_name_Hall 'I -4 2bw'
_cell_length_a 5.188
_cell_length_b 5.188
_cell_length_c 16.799
_cell_angle_alpha 90.00
_cell_angle_beta 90.00
_cell_angle_gamma 90.00
loop_
_atom_site_label
_atom_site_fract_x
_atom_site_fract_y
_atom_site_fract_z
K1 0.000 0.000 0.000
Ta1 0.035 0.250 0.625
Ni1 0.000 0.000 0.500
```

=====

no.,calculated formation energy (eV/atom)
1,-0.49
2,-0.83
3,1.55